The following is a DFT calculation (PBE-GGA) of an optimized crystal structure of LiBeAs2N.

Computed properties:
final energy = -3.072 eV per atom
magnetization = 0.000 μB/f.u.
SG = P4/mmm, No. 123
formation energy (no corrections) = 1581 meV/atom

abc: 4.3506 4.3506 3.8491
angles: 90.00 90.00 90.00
Last column: nearest neighbours and their distance in Å.
Fractional positions:
Li (0.0000, 0.0000, 0.0000)  2 Be 1.92
Be (0.0000, 0.0000, 0.5000)  2 Li 1.92
As (0.0000, 0.5000, 0.0000)  2 Li 2.18
As (0.5000, 0.0000, 0.0000)  2 Li 2.18
N (0.5000, 0.5000, 0.5000)  8 As 2.90, 4 Be 3.08